[1]
DFT (PBE-GGA) results for a relaxed structure of PuCdIn2.

a b c (Å): 4.790 4.790 4.426
angles (deg): 90.00 90.00 90.00
Positions (direct):
Pu 0.000 0.000 0.000
Cd 0.500 0.500 0.000
In 0.000 0.500 0.500
In 0.500 0.000 0.500

Energy relative to the lowest polymorph listed for this composition = 0.000 eV/atom
Crystal system = tetragonal
ΔE_f = -0.140 eV/atom
Density of states at the Fermi level = 11.64 states/eV/f.u.
Electronic total energy = -21.283 eV/cell
Magnetic moment = 5.86 Bohr magnetons per cell
Density = 9.6 g/cm3
Symmetry = P4/mmm, No. 123

=====

[2]
DFT (PBE-GGA) results for a relaxed structure of ErMoC2.

a b c (Å): 5.084 3.399 13.268
angles (deg): 90.00 90.00 90.00
Positions (direct):
Er 0.242 0.250 0.068
Er 0.258 0.750 0.568
Er 0.742 0.250 0.432
Er 0.758 0.750 0.932
Mo 0.214 0.750 0.328
Mo 0.286 0.250 0.828
Mo 0.714 0.750 0.172
Mo 0.786 0.250 0.672
C 0.163 0.250 0.686
C 0.250 0.250 0.421
C 0.250 0.750 0.921
C 0.337 0.750 0.186
C 0.663 0.250 0.814
C 0.750 0.250 0.079
C 0.750 0.750 0.579
C 0.837 0.750 0.314

Energy relative to the lowest polymorph listed for this composition = 0.206 eV/atom
Crystal system = orthorhombic
ΔE_f = -0.073 eV/atom
Density of states at the Fermi level = 2.31 states/eV/f.u.
Electronic total energy = -136.536 eV/cell
Magnetic moment = 0.00 Bohr magnetons per cell
Density = 8.3 g/cm3
Symmetry = Pnma, No. 62

=====

[3]
DFT (PBE-GGA) results for a relaxed structure of Dy2Ga2Ru.

a b c (Å): 5.824 5.824 10.539
angles (deg): 115.05 115.05 41.96
Positions (direct):
Dy 0.008 0.008 0.330
Dy 0.192 0.192 0.120
Dy 0.808 0.808 0.880
Dy 0.992 0.992 0.670
Ga 0.355 0.355 0.440
Ga 0.483 0.483 0.114
Ga 0.517 0.517 0.886
Ga 0.645 0.645 0.560
Ru 0.283 0.283 0.645
Ru 0.717 0.717 0.355

Energy relative to the lowest polymorph listed for this composition = 0.000 eV/atom
Crystal system = monoclinic
ΔE_f = -0.588 eV/atom
Density of states at the Fermi level = 4.32 states/eV/f.u.
Electronic total energy = -54.950 eV/cell
Magnetic moment = 0.00 Bohr magnetons per cell
Density = 8.8 g/cm3
Symmetry = C2/m, No. 12

=====

[4]
DFT (PBE-GGA) results for a relaxed structure of CeSmGaSi.

a b c (Å): 5.117 5.117 5.117
angles (deg): 60.00 60.00 60.00
Positions (direct):
Ce 0.000 0.000 0.000
Sm 0.500 0.500 0.500
Ga 0.250 0.250 0.250
Si 0.750 0.750 0.750

Energy relative to the lowest polymorph listed for this composition = 0.178 eV/atom
Crystal system = cubic
Density of states at the Fermi level = 7.19 states/eV/f.u.
Electronic total energy = -20.944 eV/cell
Magnetic moment = 1.08 Bohr magnetons per cell
Density = 6.8 g/cm3
Symmetry = F-43m, No. 216

=====

[5]
DFT (PBE-GGA) results for a relaxed structure of RbLa2Cd.

a b c (Å): 13.434 13.434 13.434
angles (deg): 158.95 158.95 29.95
Positions (direct):
Rb 0.000 0.000 0.000
Rb 0.750 0.250 0.500
La 0.168 0.625 0.043
La 0.375 0.418 0.543
La 0.582 0.125 0.957
La 0.875 0.832 0.457
Cd 0.250 0.750 0.500
Cd 0.500 0.500 0.000

Crystal system = tetragonal
ΔE_f = 0.379 eV/atom
Density of states at the Fermi level = 6.62 states/eV/f.u.
Electronic total energy = -20.447 eV/cell
Magnetic moment = 0.00 Bohr magnetons per cell
Density = 5.1 g/cm3
Symmetry = I-42d, No. 122

=====

[6]
DFT (PBE-GGA) results for a relaxed structure of Ta2BeCoBr.

a b c (Å): 4.447 4.447 4.317
angles (deg): 90.00 90.00 90.00
Positions (direct):
Ta 0.000 0.500 0.000
Ta 0.500 0.000 0.000
Be 0.000 0.000 0.000
Co 0.500 0.500 0.500
Br 0.000 0.000 0.500

Crystal system = tetragonal
Density of states at the Fermi level = 6.67 states/eV/f.u.
Electronic total energy = -28.950 eV/cell
Magnetic moment = 0.01 Bohr magnetons per cell
Density = 9.9 g/cm3
Symmetry = P4/mmm, No. 123